Record 1
Hf4NiPC2 | PBE | relaxed

Properties
Its uncorrected energy is -9.482 eV/atom.

Cell: 3.3457 3.3457 12.4284 Å, 90.00 90.00 120.00°
Positions (direct):
C 0.3333 0.6667 0.2559
C 0.3333 0.6667 0.7441
Hf 0.6667 0.3333 0.1490
Hf 0.6667 0.3333 0.8510
Hf 0.0000 0.0000 0.3561
Hf 0.0000 0.0000 0.6439
P 0.6667 0.3333 0.5000
Ni 0.0000 0.0000 0.0000

---

Record 2
Hf4NiPC2 | PBE | relaxed

Properties
Its uncorrected energy is -9.482 eV/atom.

Cell: 3.3478 3.3478 12.4149 Å, 90.00 90.00 120.00°
Positions (direct):
Hf 0.0000 0.0000 0.1440
Hf 0.3333 0.6667 0.6489
Hf 0.3333 0.6667 0.3511
Hf 0.0000 0.0000 0.8560
P 0.3333 0.6667 0.0000
C 0.6667 0.3333 0.7557
C 0.6667 0.3333 0.2443
Ni 0.0000 0.0000 0.5000